# 1
CsSn3S SCAN single point on PBEsol structure; space group = Pm-3m; crystal system = cubic; E_form (uncorrected) = 1.84 eV/atom; final energy = -146.0 eV for the cell shown
1.0
5.979 0.000 0.000
0.000 5.979 0.000
0.000 0.000 5.979
Cs Sn S
1 3 1
direct
0.000 0.000 0.000 Cs
0.500 0.000 0.000 Sn
0.000 0.500 0.000 Sn
0.000 0.000 0.500 Sn
0.500 0.500 0.500 S

# 2
YMg2Pb SCAN single point on PBEsol structure; space group = P4/mmm; crystal system = tetragonal; final energy = -114.3 eV for the cell shown
1.0
-1.450 -3.216 -0.023
1.411 -0.659 3.165
-6.784 3.034 3.656
Pb Y Mg
1 1 2
direct
0.500 0.500 0.000 Pb
0.500 0.500 0.500 Y
0.000 0.000 0.234 Mg
0.000 0.000 0.766 Mg

# 3
Cr2In2Pt SCAN single point on PBEsol structure; space group = I4/mmm; crystal system = tetragonal; final energy = -172.1 eV for the cell shown
1.0
3.175 0.000 0.000
0.000 3.175 0.000
-1.588 -1.588 8.167
In Pt Cr
2 1 2
direct
0.394 0.394 0.788 In
0.606 0.606 0.212 In
0.000 0.000 0.000 Pt
0.750 0.250 0.500 Cr
0.250 0.750 0.500 Cr

# 4
SrRuPt3 SCAN single point on PBEsol structure; space group = Pm-3m; crystal system = cubic; final energy = -256.1 eV for the cell shown
1.0
4.968 0.000 0.000
0.000 4.968 0.000
0.000 0.000 4.968
Pt Sr Ru
3 1 1
direct
0.500 0.000 0.000 Pt
0.000 0.500 0.000 Pt
0.000 0.000 0.500 Pt
0.000 0.000 0.000 Sr
0.500 0.500 0.500 Ru

# 5
Sm3SiS6Cl SCAN single point on PBEsol structure; space group = P2_1; crystal system = monoclinic; E_form (uncorrected) = -1.97 eV/atom; final energy = -461.5 eV for the cell shown
1.0
5.619 0.000 0.000
0.000 9.768 0.003
0.000 -4.706 8.666
Sm Cl S Si
6 2 12 2
direct
0.251 0.647 0.766 Sm
0.752 0.863 0.637 Sm
0.751 0.353 0.234 Sm
0.252 0.137 0.363 Sm
0.752 0.774 0.124 Sm
0.252 0.226 0.876 Sm
0.773 0.156 0.912 Cl
0.273 0.844 0.088 Cl
0.522 0.113 0.596 S
0.769 0.092 0.265 S
0.019 0.523 0.104 S
0.272 0.258 0.165 S
0.269 0.908 0.735 S
0.516 0.421 0.523 S
0.042 0.335 0.670 S
0.022 0.887 0.404 S
0.519 0.477 0.896 S
0.016 0.579 0.477 S
0.772 0.742 0.835 S
0.542 0.665 0.330 S
0.668 0.340 0.671 Si
0.168 0.660 0.329 Si

# 6
CsScH3 SCAN single point on PBEsol structure; space group = Pm-3m; crystal system = cubic; final energy = -56.3 eV for the cell shown
1.0
-2.310 0.518 -4.228
-1.750 -4.500 0.405
-3.884 1.720 2.332
Sc H Cs
1 3 1
direct
0.500 0.500 0.500 Sc
0.000 0.500 0.000 H
0.500 0.000 0.000 H
0.000 0.000 0.500 H
0.000 0.000 0.000 Cs

Q: Look up the final energy of the sixth one.
A: -56.3 eV for the cell shown

Q: What is the final energy in the fourth record?
A: -256.1 eV for the cell shown

Q: Look up the final energy of the fourth one.
A: -256.1 eV for the cell shown